Cs2CeTe2Se6 PBE-GGA relaxed; symmetry = C2/m, No. 12; DFT total energy = -43.32 eV per formula unit; formation energy from raw total energies = -0.77 eV per atom; spin magnetization = 0.010 μB/atom
1.0
8.947 -3.996 0.000
8.947 3.996 0.000
-2.858 0.000 6.655
Cs Ce Te Se
2 1 2 6
direct
0.231 0.231 0.215 Cs
0.769 0.769 0.785 Cs
0.000 0.000 0.500 Ce
0.489 0.489 0.796 Te
0.511 0.511 0.204 Te
0.167 0.651 0.222 Se
0.170 0.170 0.656 Se
0.349 0.833 0.778 Se
0.651 0.167 0.222 Se
0.830 0.830 0.344 Se
0.833 0.349 0.778 Se